Entry 1:
This record from OQMD via LeMat-Bulk describes a relaxed structure of TaNbCo2Si2. The functional is GGA-PBE.

Output
E = -203.11 eV/cell
magnetization = 0.0 μB/f.u.

Structure (CIF):
```
data_TaNbCo2Si2
_symmetry_space_group_name_H-M 'P 1 m 1'
_symmetry_Int_Tables_number 6
_cell_length_a 7.952
_cell_length_b 3.976
_cell_length_c 11.927
_cell_angle_alpha 90.00
_cell_angle_beta 109.47
_cell_angle_gamma 90.00
loop_
_symmetry_equiv_pos_as_xyz
'x,y,z'
'x,-y,z'
loop_
_atom_site_label
_atom_site_type_symbol
_atom_site_fract_x
_atom_site_fract_y
_atom_site_fract_z
_atom_site_occupancy
Ta1 Ta 0.000 0.000 0.000 1
Ta2 Ta 0.125 0.500 0.750 1
Ta3 Ta 0.250 0.000 0.500 1
Ta4 Ta 0.500 0.000 0.000 1
Nb1 Nb 0.375 0.500 0.250 1
Nb2 Nb 0.625 0.500 0.750 1
Nb3 Nb 0.750 0.000 0.500 1
Nb4 Nb 0.875 0.500 0.250 1
Co1 Co 0.063 0.500 0.125 1
Co2 Co 0.188 0.000 0.875 1
Co3 Co 0.313 0.500 0.625 1
Co4 Co 0.438 0.000 0.375 1
Co5 Co 0.563 0.500 0.125 1
Co6 Co 0.687 0.000 0.875 1
Co7 Co 0.812 0.500 0.625 1
Co8 Co 0.937 0.000 0.375 1
Si1 Si 0.001 0.500 0.500 1
Si2 Si 0.125 0.000 0.250 1
Si3 Si 0.250 0.500 0.000 1
Si4 Si 0.374 0.000 0.750 1
Si5 Si 0.499 0.500 0.500 1
Si6 Si 0.625 0.000 0.249 1
Si7 Si 0.750 0.500 0.000 1
Si8 Si 0.876 0.000 0.750 1
```

=====

Entry 2:
This record from OQMD via LeMat-Bulk describes a relaxed structure of YNbCoSi. The functional is GGA-PBE.

Output
E = -110.90 eV/cell
magnetization = 2.9 μB/f.u.
relative energy among the computed polymorphs = 178.4 meV/atom

Structure (CIF):
```
data_YNbCoSi
_symmetry_space_group_name_H-M 'F -4 3 m'
_symmetry_Int_Tables_number 216
_symmetry_space_group_name_Hall 'F -4 2 3'
_cell_length_a 6.518
_cell_length_b 6.518
_cell_length_c 6.518
_cell_angle_alpha 90.00
_cell_angle_beta 90.00
_cell_angle_gamma 90.00
loop_
_atom_site_label
_atom_site_type_symbol
_atom_site_fract_x
_atom_site_fract_y
_atom_site_fract_z
_atom_site_occupancy
Y1 Y 0.000 0.000 0.000 1
Nb1 Nb 0.250 0.250 0.750 1
Co1 Co 0.000 0.000 0.500 1
Si1 Si 0.250 0.250 0.250 1
```

=====

Entry 3:
This record from OQMD via LeMat-Bulk describes a relaxed structure of YNbCoSi. The functional is GGA-PBE.

Output
E = -113.76 eV/cell
magnetization = 2.5 μB/f.u.
relative energy among the computed polymorphs = 0.0 meV/atom

Structure (CIF):
```
data_YNbCoSi
_symmetry_space_group_name_H-M 'F -4 3 m'
_symmetry_Int_Tables_number 216
_symmetry_space_group_name_Hall 'F -4 2 3'
_cell_length_a 6.418
_cell_length_b 6.418
_cell_length_c 6.418
_cell_angle_alpha 90.00
_cell_angle_beta 90.00
_cell_angle_gamma 90.00
loop_
_atom_site_label
_atom_site_type_symbol
_atom_site_fract_x
_atom_site_fract_y
_atom_site_fract_z
_atom_site_occupancy
Y1 Y 0.000 0.000 0.000 1
Nb1 Nb 0.250 0.250 0.250 1
Co1 Co 0.250 0.250 0.750 1
Si1 Si 0.000 0.000 0.500 1
```

=====

Entry 4:
This record from OQMD via LeMat-Bulk describes a relaxed structure of NbZnCoSi. The functional is GGA-PBE.

Output
E = -95.90 eV/cell
magnetization = 1.4 μB/f.u.
relative energy among the computed polymorphs = 0.0 meV/atom

Structure (CIF):
```
data_NbZnCoSi
_symmetry_space_group_name_H-M 'F -4 3 m'
_symmetry_Int_Tables_number 216
_symmetry_space_group_name_Hall 'F -4 2 3'
_cell_length_a 6.039
_cell_length_b 6.039
_cell_length_c 6.039
_cell_angle_alpha 90.00
_cell_angle_beta 90.00
_cell_angle_gamma 90.00
loop_
_atom_site_label
_atom_site_type_symbol
_atom_site_fract_x
_atom_site_fract_y
_atom_site_fract_z
_atom_site_occupancy
Nb1 Nb 0.000 0.000 0.000 1
Zn1 Zn 0.250 0.250 0.750 1
Co1 Co 0.000 0.000 0.500 1
Si1 Si 0.250 0.250 0.250 1
```

=====

Entry 5:
This record from OQMD via LeMat-Bulk describes a relaxed structure of NbZnCoSi. The functional is GGA-PBE.

Output
E = -94.81 eV/cell
magnetization = 0.0 μB/f.u.
relative energy among the computed polymorphs = 67.9 meV/atom

Structure (CIF):
```
data_NbZnCoSi
_symmetry_space_group_name_H-M 'F -4 3 m'
_symmetry_Int_Tables_number 216
_symmetry_space_group_name_Hall 'F -4 2 3'
_cell_length_a 6.024
_cell_length_b 6.024
_cell_length_c 6.024
_cell_angle_alpha 90.00
_cell_angle_beta 90.00
_cell_angle_gamma 90.00
loop_
_atom_site_label
_atom_site_type_symbol
_atom_site_fract_x
_atom_site_fract_y
_atom_site_fract_z
_atom_site_occupancy
Nb1 Nb 0.000 0.000 0.000 1
Zn1 Zn 0.250 0.250 0.250 1
Co1 Co 0.250 0.250 0.750 1
Si1 Si 0.000 0.000 0.500 1
```

=====

Entry 6:
This record from OQMD via LeMat-Bulk describes a relaxed structure of ZrNbCoSi. The functional is GGA-PBE.

Output
E = -125.06 eV/cell
magnetization = 1.9 μB/f.u.
relative energy among the computed polymorphs = 0.0 meV/atom

Structure (CIF):
```
data_ZrNbCoSi
_symmetry_space_group_name_H-M 'F -4 3 m'
_symmetry_Int_Tables_number 216
_symmetry_space_group_name_Hall 'F -4 2 3'
_cell_length_a 6.302
_cell_length_b 6.302
_cell_length_c 6.302
_cell_angle_alpha 90.00
_cell_angle_beta 90.00
_cell_angle_gamma 90.00
loop_
_atom_site_label
_atom_site_type_symbol
_atom_site_fract_x
_atom_site_fract_y
_atom_site_fract_z
_atom_site_occupancy
Zr1 Zr 0.000 0.000 0.000 1
Nb1 Nb 0.250 0.250 0.250 1
Co1 Co 0.250 0.250 0.750 1
Si1 Si 0.000 0.000 0.500 1
```